{
  "formula": "Y2Zr3Os2",
  "functional": "PBE-GGA",
  "state": "optimized geometry",
  "lattice_angstrom": [[-3.715, 0.512, -0.275], [-2.710, -5.359, 0.920], [-2.507, -0.334, 7.546]],
  "species": ["Y", "Zr", "Zr", "Os", "Os", "Zr", "Y"],
  "fractional_positions": [[0.149, 0.502, 0.199], [0.377, 0.808, 0.439], [0.500, 0.000, 0.000], [0.839, 0.088, 0.234], [0.161, 0.912, 0.766], [0.623, 0.192, 0.561], [0.851, 0.498, 0.801]],
  "magnetic_moment_mub_per_fu": 0.0,
  "space_group": "C2/m, No. 12",
  "ef_ev_per_atom": -0.265
}